(1)
Material: Mg2TlPdSe
Method: DFT, PBE
State: optimized geometry

Cell lengths 5.027, 4.905, 5.027 Å; angles 90.00, 90.00, 90.00 degrees
Fractional positions:
Mg  0.000  0.000  0.500
Mg  0.500  0.000  0.000
Tl  0.500  0.500  0.500
Se  0.000  0.000  0.000
Pd  0.000  0.500  0.000

Properties
Space group: No. 123
Theoretical density in g/cm3: 5.873
Raw total energy in eV for the cell shown: -14.756
Energy relative to the elements, uncorrected in eV per atom: -0.1046

(2)
Material: GeB2Pb2
Method: DFT, PBE
State: optimized geometry

Cell lengths 3.045, 3.045, 10.455 Å; angles 81.63, 81.63, 90.00 degrees
Fractional positions:
Pb  0.365  0.365  0.270
Pb  0.635  0.635  0.730
Ge  0.000  0.000  0.000
B  0.750  0.250  0.500
B  0.250  0.750  0.500

Properties
Space group: No. 139
Theoretical density in g/cm3: 8.906
Raw total energy in eV for the cell shown: -20.316
Formation energy in eV per atom: 1.01

(3)
Material: LiP2Os2
Method: DFT, PBE
State: optimized geometry

Cell lengths 6.941, 6.941, 2.821 Å; angles 90.00, 90.00, 90.00 degrees
Fractional positions:
P  0.349  0.849  0.000
P  0.849  0.651  0.000
P  0.651  0.151  0.000
P  0.151  0.349  0.000
Os  0.145  0.645  0.500
Os  0.645  0.855  0.500
Os  0.855  0.355  0.500
Os  0.355  0.145  0.500
Li  0.000  0.000  0.000
Li  0.500  0.500  0.000

Properties
Space group: No. 127
Theoretical density in g/cm3: 10.983
Raw total energy in eV for the cell shown: -71.273
Formation energy in eV per atom: -0.09

(4)
Material: GeIrF2
Method: DFT, PBE
State: optimized geometry

Cell lengths 9.245, 9.245, 9.245 Å; angles 16.80, 16.80, 16.80 degrees
Site moments in Bohr magnetons follow the coordinates.
Fractional positions:
Ge  0.000  0.000  0.000  0.01
Ir  0.500  0.500  0.500  1.28
F  0.933  0.933  0.933  0.01
F  0.067  0.067  0.067  0.01

Properties
Space group: No. 166
Theoretical density in g/cm3: 8.735
Raw total energy in eV for the cell shown: -19.381
Energy relative to the elements, uncorrected in eV per atom: -0.5400

(5)
Material: LaScHg3
Method: DFT, PBE
State: optimized geometry

Cell lengths 5.339, 5.339, 5.339 Å; angles 90.00, 90.00, 90.00 degrees
Fractional positions:
Sc  0.000  0.000  0.000
Hg  0.000  0.500  0.000
Hg  0.000  0.000  0.500
Hg  0.500  0.000  0.000
La  0.500  0.500  0.500

Properties
Space group: No. 221
Theoretical density in g/cm3: 8.574
Raw total energy in eV for the cell shown: -12.189
Formation energy in eV per atom: -0.01

(6)
Material: CeSm4Er5
Method: DFT, PBE
State: optimized geometry

Cell lengths 5.807, 11.756, 8.126 Å; angles 135.76, 110.93, 90.00 degrees
Site moments in Bohr magnetons follow the coordinates.
Fractional positions:
Ce  0.500  0.000  0.000  0.65
Sm  0.428  0.175  0.857  0.05
Sm  0.164  0.399  0.329  0.01
Sm  0.572  0.825  0.143  0.05
Sm  0.836  0.601  0.671  0.01
Er  0.848  0.270  0.696  0.02
Er  0.846  0.930  0.693  0.08
Er  0.154  0.070  0.307  0.08
Er  0.500  0.500  0.000  -0.01
Er  0.152  0.730  0.304  0.02

Properties
Space group: No. 12
Theoretical density in g/cm3: 7.882
Raw total energy in eV for the cell shown: -45.067
Formation energy in eV per atom: 0.26

(7)
Material: Ho2PaTc
Method: DFT, PBE
State: optimized geometry

Cell lengths 3.249, 3.249, 10.877 Å; angles 81.41, 81.41, 60.00 degrees
Fractional positions:
Pa  0.000  0.000  0.000
Ho  0.101  0.101  0.696
Ho  0.899  0.899  0.304
Tc  0.500  0.500  0.500

Properties
Space group: No. 166
Theoretical density in g/cm3: 11.169
Raw total energy in eV for the cell shown: -27.667
Formation energy in eV per atom: 0.34

(8)
Material: PWCl
Method: DFT, PBE
State: optimized geometry

Cell lengths 7.714, 7.456, 3.045 Å; angles 83.22, 73.70, 23.08 degrees
Fractional positions:
Cl  0.038  0.038  0.962
P  0.290  0.290  0.710
W  0.672  0.672  0.328

Properties
Space group: No. 42
Theoretical density in g/cm3: 6.799
Raw total energy in eV for the cell shown: -19.425
Energy relative to the elements, uncorrected in eV per atom: 0.2617

Question: Look up the raw total energy of the sixth one.
Answer: -45.067 eV for the cell shown